Record 1
A relaxed Ag7Pd2 crystal. Source: the Alexandria database, functional PBE-GGA.

Properties
Energy of formation = 0.0160 eV per atom
Density of states at the Fermi level = 2.73 states/eV per cell
Magnetic moment = 0.00 Bohr magnetons per cell
Calculated density = 10.23 Mg/m³
Calculated volume = 17.465 A^3/atom

```
data_Ag7Pd2
_chemical_formula_sum 'Ag7 Pd2'
_cell_length_a 2.857
_cell_length_b 7.970
_cell_length_c 7.970
_cell_angle_alpha 120.00
_cell_angle_beta 90.00
_cell_angle_gamma 90.00
_symmetry_space_group_name_H-M 'P 1'
_symmetry_Int_Tables_number 1
_symmetry_space_group_name_Hall 'P 1'
loop_
_atom_site_label
_atom_site_fract_x
_atom_site_fract_y
_atom_site_fract_z
_atom_site_occupancy
Ag1 0.500 0.637 0.000 1
Ag2 0.500 0.000 0.637 1
Ag3 0.500 0.363 0.363 1
Ag4 0.000 0.309 0.000 1
Ag5 0.000 0.000 0.309 1
Ag6 0.000 0.691 0.691 1
Ag7 0.500 0.000 0.000 1
Pd1 0.000 0.667 0.333 1
Pd2 0.000 0.333 0.667 1
```



Record 2
A relaxed Nd8Ir2Pd crystal. Source: the Alexandria database, functional PBE-GGA.

Properties
Energy of formation = -0.3498 eV per atom
Density of states at the Fermi level = 11.39 states/eV per cell
Magnetic moment = 0.00 Bohr magnetons per cell
Calculated density = 8.24 Mg/m³
Calculated volume = 30.146 A^3/atom

```
data_Nd8Ir2Pd
_chemical_formula_sum 'Nd8 Ir2 Pd1'
_cell_length_a 6.404
_cell_length_b 7.663
_cell_length_c 7.663
_cell_angle_alpha 111.77
_cell_angle_beta 100.13
_cell_angle_gamma 100.13
_symmetry_space_group_name_H-M 'P 1'
_symmetry_Int_Tables_number 1
_symmetry_space_group_name_Hall 'P 1'
loop_
_atom_site_label
_atom_site_fract_x
_atom_site_fract_y
_atom_site_fract_z
_atom_site_occupancy
Nd1 0.596 0.346 0.080 1
Nd2 0.596 0.080 0.346 1
Nd3 0.183 0.368 0.368 1
Nd4 0.980 0.211 0.785 1
Nd5 0.980 0.785 0.211 1
Nd6 0.788 0.644 0.644 1
Nd7 0.363 0.925 0.655 1
Nd8 0.363 0.655 0.925 1
Ir1 0.489 0.690 0.319 1
Ir2 0.489 0.319 0.690 1
Pd1 0.173 0.013 0.013 1
```



Question: What is the magnetic moment in the second record?
Answer: 0.00 Bohr magnetons per cell